# 1
The following is a GGA-PBE calculation of GeSNCl2 after structural relaxation, from the Alexandria database.

Cell lengths 4.2764, 4.2764, 4.6431 Å; angles 90.00, 90.00, 90.00 degrees
Closest atoms and distances in Å follow each position.
Sites, in units of the cell vectors:
N: 0.0000 0.0000 0.0000  4 Cl 2.14, 2 S 2.32
Cl: 0.0000 0.5000 0.0000  2 N 2.14
S: 0.0000 0.0000 0.5000  2 N 2.32
Cl: 0.5000 0.0000 0.0000  2 N 2.14
Ge: 0.5000 0.5000 0.5000  4 S 3.02, 8 Cl 3.16

Values from the calculation:
E, eV/atom: -3.3020
DOS at the Fermi energy, states/eV/atom: 0.01
ΔE_f (raw), eV/atom: 0.85
Energy above the lowest structure with this stoichiometry, meV per atom: 0.0
Calculated density, g cm⁻³: 3.71

# 2
The following is a GGA-PBE calculation of GeSeN2Cl after structural relaxation, from the Alexandria database.

Cell lengths 4.0944, 4.0944, 5.0503 Å; angles 90.00, 90.00, 90.00 degrees
Closest atoms and distances in Å follow each position.
Sites, in units of the cell vectors:
Cl: 0.0000 0.0000 0.0000  4 N 2.05
N: 0.5000 0.0000 0.0000  2 Cl 2.05
Ge: 0.5000 0.5000 0.5000  4 Se 2.90
Se: 0.0000 0.0000 0.5000  2 Cl 2.53
N: 0.0000 0.5000 0.0000  2 Cl 2.05

Values from the calculation:
E, eV/atom: -3.2512
DOS at the Fermi energy, states/eV/atom: 0.37
ΔE_f (raw), eV/atom: 2.07
Energy above the lowest structure with this stoichiometry, meV per atom: 851.7
Calculated density, g cm⁻³: 4.22

# 3
The following is a GGA-PBE calculation of GeSeN2Cl after structural relaxation, from the Alexandria database.

Cell lengths 3.7016, 3.7016, 6.3243 Å; angles 90.00, 90.00, 90.00 degrees
Closest atoms and distances in Å follow each position.
Sites, in units of the cell vectors:
Se: 0.0000 0.0000 0.5000  4 Cl 2.62
Cl: 0.5000 0.5000 0.5000  4 Se 2.62
Ge: 0.0000 0.0000 0.0000  4 N 1.85
N: 0.0000 0.5000 0.0000  2 Ge 1.85
N: 0.5000 0.0000 0.0000  2 Ge 1.85

Values from the calculation:
E, eV/atom: -4.1029
DOS at the Fermi energy, states/eV/atom: 0.67
ΔE_f (raw), eV/atom: 1.22
Energy above the lowest structure with this stoichiometry, meV per atom: 0.0
Calculated density, g cm⁻³: 4.12

# 4
The following is a GGA-PBE calculation of Sm6GeN2Cl3 after structural relaxation, from the Alexandria database.

Cell lengths 3.8271, 8.2503, 9.2120 Å; angles 108.60, 101.99, 90.00 degrees
Closest atoms and distances in Å follow each position.
Sites, in units of the cell vectors:
Sm: 0.3329 0.8617 0.6658  2 N 2.52
Cl: 0.8351 0.1735 0.6702  5 Sm 2.95-3.20
Sm: 0.6671 0.1383 0.3342  2 N 2.52
Sm: 0.3160 0.4478 0.6320  3 N 2.43-2.55
Sm: 0.0300 0.2594 0.0599  1 N 2.45
Sm: 0.6840 0.5522 0.3680  3 N 2.43-2.55
Cl: 0.5000 0.5000 0.0000  6 Sm 2.93-3.20
N: 0.1735 0.3418 0.3470  6 Sm 2.43-2.55
Sm: 0.9700 0.7406 0.9401  1 N 2.45
N: 0.8265 0.6582 0.6530  6 Sm 2.43-2.55
Ge: 0.5000 0.0000 0.0000  6 Sm 2.79-2.85
Cl: 0.1649 0.8265 0.3298  5 Sm 2.95-3.20

Values from the calculation:
E, eV/atom: -5.9902
DOS at the Fermi energy, states/eV/atom: 0.39
ΔE_f (raw), eV/atom: -1.40
Calculated density, g cm⁻³: 6.85

# 5
The following is a GGA-PBE calculation of SnGe2NCl after structural relaxation, from the Alexandria database.

Cell lengths 5.5275, 5.5275, 4.0415 Å; angles 90.00, 90.00, 90.00 degrees
Closest atoms and distances in Å follow each position.
Sites, in units of the cell vectors:
Sn: 0.0000 0.0000 0.0000  2 N 2.02
Ge: 0.0000 0.5000 0.0000  2 Sn 2.76
Ge: 0.5000 0.0000 0.0000  2 Sn 2.76
Cl: 0.5000 0.5000 0.5000  8 Ge 3.42
N: 0.0000 0.0000 0.5000  2 Sn 2.02

Values from the calculation:
E, eV/atom: -3.7700
DOS at the Fermi energy, states/eV/atom: 0.70
ΔE_f (raw), eV/atom: 0.91
Calculated density, g cm⁻³: 4.22

# 6
The following is a GGA-PBE calculation of GeTe2NCl after structural relaxation, from the Alexandria database.

Cell lengths 6.2370, 6.2370, 3.2735 Å; angles 90.00, 90.00, 90.00 degrees
Closest atoms and distances in Å follow each position.
Sites, in units of the cell vectors:
Te: 0.0000 0.5000 0.0000  2 Cl 3.12, 2 Te 3.27
N: 0.0000 0.0000 0.5000  2 Cl 1.64
Cl: 0.0000 0.0000 0.0000  2 N 1.64
Te: 0.5000 0.0000 0.0000  2 Cl 3.12, 2 Te 3.27
Ge: 0.5000 0.5000 0.5000  2 Ge 3.27, 8 Te 3.52

Values from the calculation:
E, eV/atom: -2.9180
DOS at the Fermi energy, states/eV/atom: 0.78
ΔE_f (raw), eV/atom: 1.30
Energy above the lowest structure with this stoichiometry, meV per atom: 593.1
Calculated density, g cm⁻³: 4.92

# 7
The following is a GGA-PBE calculation of GeTe2NCl after structural relaxation, from the Alexandria database.

Cell lengths 5.8533, 5.8533, 3.4605 Å; angles 90.00, 90.00, 90.00 degrees
Closest atoms and distances in Å follow each position.
Sites, in units of the cell vectors:
Cl: 0.5000 0.5000 0.5000  8 Te 3.40, 2 Cl 3.46
Te: 0.5000 0.0000 0.0000  2 Ge 2.93
Ge: 0.0000 0.0000 0.0000  2 N 1.73
Te: 0.0000 0.5000 0.0000  2 Ge 2.93
N: 0.0000 0.0000 0.5000  2 Ge 1.73

Values from the calculation:
E, eV/atom: -3.5111
DOS at the Fermi energy, states/eV/atom: 0.97
ΔE_f (raw), eV/atom: 0.70
Energy above the lowest structure with this stoichiometry, meV per atom: 0.0
Calculated density, g cm⁻³: 5.28

# 8
The following is a GGA-PBE calculation of ZrGe2NCl after structural relaxation, from the Alexandria database.

Cell lengths 4.6676, 4.3632, 4.6676 Å; angles 90.00, 90.00, 90.00 degrees
Closest atoms and distances in Å follow each position.
Sites, in units of the cell vectors:
N: 0.0000 0.0000 0.0000  2 Zr 2.18, 4 Ge 2.33
Cl: 0.5000 0.5000 0.5000  8 Ge 3.19, 4 Zr 3.30
Ge: 0.5000 0.0000 0.0000  2 N 2.33
Zr: 0.0000 0.5000 0.0000  2 N 2.18
Ge: 0.0000 0.0000 0.5000  2 N 2.33

Values from the calculation:
E, eV/atom: -5.4235
DOS at the Fermi energy, states/eV/atom: 0.46
ΔE_f (raw), eV/atom: 0.17
Calculated density, g cm⁻³: 5.00